Material: LiCaF3
Method: DFT, PBE-GGA
State: relaxed

Unit cell a=4.414 b=4.414 c=4.414 alpha=90.00 beta=90.00 gamma=90.00
Space group Pm-3m (No. 221)
One atom of each set of equivalent atoms:
1 Li 0.000 0.000 0.000
2 Ca 0.500 0.500 0.500
3 F 0.000 0.500 0.500

Values from the calculation:
Calculated total energy = -5.046 eV/atom
Raw formation energy = -15.70 eV/f.u.
Polymorph energy (0 for the lowest one) = 0.328 eV per atom